No. 1
The following is a DFT calculation (GGA-PBE) of crystalline ScFe2Co2 at its relaxed geometry.

Computed properties:
**SG**: I4/mmm
**Formation energy from the elements**: -0.01 eV/atom
**Distance to the lowest polymorph of the same formula**: 0 meV per atom

```
ScFe2Co2
1.0
3.8049 0.0000 0.0000
0.0000 3.8049 0.0000
-1.9024 -1.9024 9.6784
Sc Fe Co
2 4 4
direct
0.6267 0.6267 0.2535 Sc
0.3733 0.3733 0.7465 Sc
0.0000 0.5000 0.0000 Fe
0.1837 0.1837 0.3674 Fe
0.5000 0.0000 0.0000 Fe
0.8163 0.8163 0.6326 Fe
0.7500 0.2500 0.5000 Co
0.9305 0.9305 0.8610 Co
0.0695 0.0695 0.1390 Co
0.2500 0.7500 0.5000 Co
```

=====

No. 2
The following is a DFT calculation (GGA-PBE) of crystalline TlSiHg at its relaxed geometry.

Computed properties:
**SG**: P3m1
**Distance to the lowest polymorph of the same formula**: 109 meV per atom
**Formation energy (no corrections)**: 132.9 kJ/mol of formula units

```
TlSiHg
1.0
3.2686 0.0000 0.0000
-1.6343 2.8307 0.0000
0.0000 0.0000 7.7885
Hg Si Tl
1 1 1
direct
0.0000 0.0000 0.0252 Hg
0.6667 0.3333 0.3211 Si
0.3333 0.6667 0.6537 Tl
```

=====

No. 3
The following is a DFT calculation (GGA-PBE) of crystalline BaCu2Ge2 at its relaxed geometry.

Computed properties:
**SG**: P4/mbm
**Formation energy from the elements**: 0.06 eV/atom

```
BaCu2Ge2
1.0
-6.3257 -3.8625 -3.3833
2.6360 -7.0498 3.1197
-1.6461 0.4959 2.5116
Ge Ba Cu
4 2 4
direct
0.1536 0.6536 0.5000 Ge
0.6536 0.8464 0.5000 Ge
0.8464 0.3464 0.5000 Ge
0.3464 0.1536 0.5000 Ge
0.0000 0.0000 0.0000 Ba
0.5000 0.5000 0.0000 Ba
0.3877 0.8877 0.0000 Cu
0.8877 0.6123 0.0000 Cu
0.6123 0.1123 0.0000 Cu
0.1123 0.3877 0.0000 Cu
```

=====

No. 4
The following is a DFT calculation (GGA-PBE) of crystalline PmAg6Sn6 at its relaxed geometry.

Computed properties:
**SG**: Immm
**Formation energy from the elements**: -0.12 eV/atom

```
PmAg6Sn6
1.0
-5.4909 1.4880 1.6650
-5.2669 -1.7226 -5.2787
-3.7476 -5.7712 3.3499
Pm Ag Sn
1 6 6
direct
0.0000 0.0000 0.0000 Pm
0.0000 0.5000 0.0000 Ag
0.5000 0.5000 0.0000 Ag
0.0000 0.0000 0.5000 Ag
0.5000 0.0000 0.5000 Ag
0.5000 0.7494 0.2506 Ag
0.5000 0.2506 0.7494 Ag
0.3319 0.6681 0.6681 Sn
0.6681 0.3319 0.3319 Sn
0.0000 0.3458 0.6542 Sn
0.0000 0.6542 0.3458 Sn
0.3374 0.1626 0.1626 Sn
0.6626 0.8374 0.8374 Sn
```

=====

No. 5
The following is a DFT calculation (GGA-PBE) of crystalline CaFe4Se at its relaxed geometry.

Computed properties:
**SG**: F-43m
**Formation energy (no corrections)**: 138.9 kJ/mol of formula units

```
CaFe4Se
1.0
0.0000 3.6185 3.6185
3.6185 0.0000 3.6185
3.6185 3.6185 0.0000
Ca Fe Se
1 4 1
direct
0.0000 0.0000 0.0000 Ca
0.8824 0.3725 0.3725 Fe
0.3725 0.3725 0.8824 Fe
0.3725 0.8824 0.3725 Fe
0.3725 0.3725 0.3725 Fe
0.7500 0.7500 0.7500 Se
```

=====

No. 6
The following is a DFT calculation (GGA-PBE) of crystalline Be2GeMoPd at its relaxed geometry.

Computed properties:
**SG**: P4/mmm
**Formation energy from the elements**: 0.99 eV/atom

```
Be2GeMoPd
1.0
4.1621 0.0000 0.0000
0.0000 4.6933 0.0000
0.0000 0.0000 4.1621
Be Mo Ge Pd
2 1 1 1
direct
0.0000 0.0000 0.5000 Be
0.5000 0.0000 0.0000 Be
0.5000 0.5000 0.5000 Mo
0.0000 0.0000 0.0000 Ge
0.0000 0.5000 0.0000 Pd
```

=====

No. 7
The following is a DFT calculation (GGA-PBE) of crystalline Gd6Mg at its relaxed geometry.

Computed properties:
**SG**: Im-3m
**Formation energy from the elements**: 1.50 eV/atom

```
Gd6Mg
1.0
7.2025 0.0000 0.0000
-2.4008 6.7905 0.0000
-2.4008 -3.3953 5.8808
Gd Mg
6 1
direct
0.2500 0.7500 0.5000 Gd
0.5000 0.7500 0.2500 Gd
0.2500 0.5000 0.7500 Gd
0.7500 0.2500 0.5000 Gd
0.5000 0.2500 0.7500 Gd
0.7500 0.5000 0.2500 Gd
0.0000 0.0000 0.0000 Mg
```

=====

No. 8
The following is a DFT calculation (GGA-PBE) of crystalline BeZnRh at its relaxed geometry.

Computed properties:
**SG**: F-43m
**Formation energy from the elements**: 0.03 eV/atom
**Distance to the lowest polymorph of the same formula**: 503 meV per atom

```
BeZnRh
1.0
-1.7227 3.5146 0.6816
-1.5933 2.0481 -3.0085
-3.9458 0.3665 -0.2841
Be Zn Rh
1 1 1
direct
0.5000 0.5000 0.5000 Be
0.0000 0.0000 0.0000 Zn
0.7500 0.7500 0.7500 Rh
```